Record 1
# BeTcSe2, relaxed, DFT PBE-GGA
# Total magnetization ... 0.18 μB/f.u.
# Raw formation energy ... 0.4485 eV/atom
# Energy ... -38.5 eV per cell
data_BeTcSe2
_chemical_formula_sum 'Be2 Tc2 Se4'
_space_group_name_H-M_alt 'C m m m'
_space_group_IT_number 65
_space_group_name_Hall '-C 2 2'
_cell_length_a 3.166
_cell_length_b 5.882
_cell_length_c 7.243
_cell_angle_alpha 90.00
_cell_angle_beta 90.00
_cell_angle_gamma 90.00
loop_
_atom_site_label
_atom_site_type_symbol
_atom_site_fract_x
_atom_site_fract_y
_atom_site_fract_z
Be1 Be 0.000 0.000 0.000
Tc1 Tc 0.000 0.000 0.500
Se1 Se 0.000 0.500 0.227

Record 2
# AcPO6, relaxed, DFT PBE-GGA
# Total magnetization ... 2.01 μB/f.u.
# Raw formation energy ... -1.5433 eV/atom
# Energy ... -206.5 eV per cell
data_AcPO6
_chemical_formula_sum 'Ac4 P4 O24'
_space_group_name_H-M_alt 'F m -3 m'
_space_group_IT_number 225
_space_group_name_Hall '-F 4 2 3'
_cell_length_a 8.307
_cell_length_b 8.307
_cell_length_c 8.307
_cell_angle_alpha 90.00
_cell_angle_beta 90.00
_cell_angle_gamma 90.00
loop_
_atom_site_label
_atom_site_type_symbol
_atom_site_fract_x
_atom_site_fract_y
_atom_site_fract_z
Ac1 Ac 0.000 0.000 0.000
P1 P 0.000 0.000 0.500
O1 O 0.000 0.000 0.301

Please write out number 1 again, unchanged.
# BeTcSe2, relaxed, DFT PBE-GGA
# Total magnetization ... 0.18 μB/f.u.
# Raw formation energy ... 0.4485 eV/atom
# Energy ... -38.5 eV per cell
data_BeTcSe2
_chemical_formula_sum 'Be2 Tc2 Se4'
_space_group_name_H-M_alt 'C m m m'
_space_group_IT_number 65
_space_group_name_Hall '-C 2 2'
_cell_length_a 3.166
_cell_length_b 5.882
_cell_length_c 7.243
_cell_angle_alpha 90.00
_cell_angle_beta 90.00
_cell_angle_gamma 90.00
loop_
_atom_site_label
_atom_site_type_symbol
_atom_site_fract_x
_atom_site_fract_y
_atom_site_fract_z
Be1 Be 0.000 0.000 0.000
Tc1 Tc 0.000 0.000 0.500
Se1 Se 0.000 0.500 0.227

total magnetization of number 2 (AcPO6)? 2.01 μB/f.u.

Number 2 is which compound? AcPO6

What did the first record say?
# BeTcSe2, relaxed, DFT PBE-GGA
# Total magnetization ... 0.18 μB/f.u.
# Raw formation energy ... 0.4485 eV/atom
# Energy ... -38.5 eV per cell
data_BeTcSe2
_chemical_formula_sum 'Be2 Tc2 Se4'
_space_group_name_H-M_alt 'C m m m'
_space_group_IT_number 65
_space_group_name_Hall '-C 2 2'
_cell_length_a 3.166
_cell_length_b 5.882
_cell_length_c 7.243
_cell_angle_alpha 90.00
_cell_angle_beta 90.00
_cell_angle_gamma 90.00
loop_
_atom_site_label
_atom_site_type_symbol
_atom_site_fract_x
_atom_site_fract_y
_atom_site_fract_z
Be1 Be 0.000 0.000 0.000
Tc1 Tc 0.000 0.000 0.500
Se1 Se 0.000 0.500 0.227